Compound: Na2ICl
Source: the Alexandria database
Functional: GGA-PBEsol
Structure: optimized geometry

Geometry as extended XYZ:
```
16
Lattice="7.491 0.000 0.000 0.000 7.491 0.000 0.000 0.000 8.929" Properties=species:S:1:pos:R:3 pbc="T T T"
Na 1.543 1.873 1.116
Na 1.873 5.288 3.348
Na 1.873 5.949 7.813
Na 2.203 1.873 5.581
Na 5.288 5.619 5.581
Na 5.619 1.543 7.813
Na 5.619 2.203 3.348
Na 5.949 5.619 1.116
I 0.000 0.000 4.465
I 0.000 3.746 6.697
I 3.746 0.000 2.232
I 3.746 3.746 0.000
Cl 0.000 0.000 0.000
Cl 0.000 3.746 2.232
Cl 3.746 0.000 6.697
Cl 3.746 3.746 4.465
```

Summary:
Fermi-level density of states: 0.0 states/eV per cell
Calculated volume: 31.32 A^3/atom
Total moment: 0.001 μB per formula unit
Formation energy without anion corrections: -138.5 kJ/mol of atoms
Total energy: -49.269 eV/cell

Compound: Sr3Li4Sb4
Source: the Alexandria database
Functional: GGA-PBEsol
Structure: optimized geometry

Geometry as extended XYZ:
```
11
Lattice="-2.385 3.710 7.840 2.385 -3.710 7.840 2.385 3.710 -7.840" Properties=species:S:1:pos:R:3 pbc="T T T"
Sr 0.000 0.000 0.000
Sr 2.385 0.000 5.799
Sr 0.000 3.710 2.040
Li 2.385 1.428 -2.743
Li 2.385 1.428 2.743
Li 0.000 2.282 5.097
Li 0.000 2.282 10.582
Sb 0.000 0.000 3.355
Sb 2.385 2.276 0.000
Sb 0.000 1.434 7.840
Sb 0.000 0.000 12.324
```

Summary:
Fermi-level density of states: 2.1 states/eV per cell
Calculated volume: 25.22 A^3/atom
Total moment: 0.000 μB per formula unit
Formation energy without anion corrections: -86.7 kJ/mol of atoms
Total energy: -41.498 eV/cell

Compound: Mg2Sc
Source: the Alexandria database
Functional: GGA-PBEsol
Structure: optimized geometry

Geometry as extended XYZ:
```
12
Lattice="11.933 0.000 0.000 0.000 3.151 0.000 -1.954 0.000 7.259" Properties=species:S:1:pos:R:3 pbc="T T T"
Mg 1.618 0.000 0.223
Mg 1.090 0.000 4.659
Mg 2.923 1.575 2.600
Mg 2.395 1.575 7.036
Mg 7.584 1.575 0.223
Mg 7.056 1.575 4.659
Mg 8.890 0.000 2.600
Mg 8.362 0.000 7.036
Sc -0.313 1.575 2.210
Sc 4.325 0.000 5.049
Sc 5.654 0.000 2.210
Sc 10.292 1.575 5.049
```

Summary:
Fermi-level density of states: 11.5 states/eV per cell
Calculated volume: 22.74 A^3/atom
Total moment: 0.126 μB per formula unit
Total energy: -40.193 eV/cell

Compound: MgCu2
Source: the Alexandria database
Functional: GGA-PBEsol
Structure: optimized geometry

Geometry as extended XYZ:
```
6
Lattice="3.044 0.000 0.000 0.000 3.044 0.000 0.000 0.000 8.781" Properties=species:S:1:pos:R:3 pbc="T T T"
Mg 0.000 0.000 0.000
Mg 1.522 1.522 4.391
Cu 0.000 0.000 2.796
Cu 0.000 0.000 5.986
Cu 1.522 1.522 1.595
Cu 1.522 1.522 7.186
```

Summary:
Fermi-level density of states: 1.9 states/eV per cell
Calculated volume: 13.56 A^3/atom
Total moment: 0.000 μB per formula unit
Total energy: -20.930 eV/cell

Compound: Cs3BeRh
Source: the Alexandria database
Functional: GGA-PBEsol
Structure: optimized geometry

Geometry as extended XYZ:
```
5
Lattice="6.314 0.000 0.000 0.000 6.314 0.000 0.000 0.000 6.314" Properties=species:S:1:pos:R:3 pbc="T T T"
Cs 0.000 0.000 3.157
Cs 0.000 3.157 0.000
Cs 3.157 0.000 0.000
Be 0.000 0.000 0.000
Rh 3.157 3.157 3.157
```

Summary:
Fermi-level density of states: 12.1 states/eV per cell
Calculated volume: 50.33 A^3/atom
Total moment: 1.330 μB per formula unit
Total energy: -8.122 eV/cell

Compound: La2RhPb
Source: the Alexandria database
Functional: GGA-PBEsol
Structure: optimized geometry

Geometry as extended XYZ:
```
4
Lattice="3.536 0.000 0.000 0.000 3.536 0.000 0.000 0.000 8.326" Properties=species:S:1:pos:R:3 pbc="T T T"
La 0.000 0.000 1.716
La 0.000 0.000 6.610
Rh 1.768 1.768 0.000
Pb 1.768 1.768 4.163
```

Summary:
Fermi-level density of states: 2.8 states/eV per cell
Calculated volume: 26.03 A^3/atom
Total moment: 0.000 μB per formula unit
Total energy: -25.243 eV/cell

Compound: Mg2NiOs
Source: the Alexandria database
Functional: GGA-PBEsol
Structure: optimized geometry

Geometry as extended XYZ:
```
12
Lattice="2.791 0.000 0.000 -1.395 2.417 0.000 0.000 0.000 26.966" Properties=species:S:1:pos:R:3 pbc="T T T"
Mg 0.000 0.000 0.000
Mg 0.000 0.000 6.267
Mg 0.000 1.611 17.977
Mg 0.000 1.611 24.244
Mg 1.395 0.806 8.989
Mg 1.395 0.806 15.256
Ni 0.000 0.000 20.065
Ni 0.000 1.611 11.076
Ni 1.395 0.806 2.087
Os 0.000 0.000 12.996
Os 0.000 1.611 4.007
Os 1.395 0.806 21.984
```

Summary:
Fermi-level density of states: 5.4 states/eV per cell
Calculated volume: 15.15 A^3/atom
Total moment: 0.001 μB per formula unit
Total energy: -62.677 eV/cell

Compound: NiH2Os
Source: the Alexandria database
Functional: GGA-PBEsol
Structure: optimized geometry

Geometry as extended XYZ:
```
16
Lattice="4.969 0.000 0.000 0.000 4.969 0.000 0.000 0.000 4.969" Properties=species:S:1:pos:R:3 pbc="T T T"
Ni 0.000 0.000 0.000
Ni 0.000 2.485 2.485
Ni 2.485 0.000 2.485
Ni 2.485 2.485 0.000
H 1.242 1.242 1.242
H 1.242 1.242 3.727
H 1.242 3.727 1.242
H 1.242 3.727 3.727
H 3.727 1.242 1.242
H 3.727 1.242 3.727
H 3.727 3.727 1.242
H 3.727 3.727 3.727
Os 0.000 0.000 2.485
Os 0.000 2.485 0.000
Os 2.485 0.000 0.000
Os 2.485 2.485 2.485
```

Summary:
Fermi-level density of states: 17.5 states/eV per cell
Calculated volume: 7.67 A^3/atom
Total moment: 0.431 μB per formula unit
Total energy: -87.977 eV/cell

Compound: GaAg2O
Source: the Alexandria database
Functional: GGA-PBEsol
Structure: optimized geometry

Geometry as extended XYZ:
```
16
Lattice="6.091 0.000 0.000 0.000 6.091 0.000 0.000 0.000 6.091" Properties=species:S:1:pos:R:3 pbc="T T T"
Ga 0.000 0.000 0.000
Ga 0.000 3.046 3.046
Ga 3.046 0.000 3.046
Ga 3.046 3.046 0.000
Ag 1.523 1.523 1.523
Ag 1.523 1.523 4.569
Ag 1.523 4.569 1.523
Ag 1.523 4.569 4.569
Ag 4.569 1.523 1.523
Ag 4.569 1.523 4.569
Ag 4.569 4.569 1.523
Ag 4.569 4.569 4.569
O 0.000 0.000 3.046
O 0.000 3.046 0.000
O 3.046 0.000 0.000
O 3.046 3.046 3.046
```

Summary:
Fermi-level density of states: 3.9 states/eV per cell
Calculated volume: 14.13 A^3/atom
Total moment: 0.000 μB per formula unit
Formation energy without anion corrections: 4.1 kJ/mol of atoms
Total energy: -60.169 eV/cell

Compound: Zr5Zn
Source: the Alexandria database
Functional: GGA-PBEsol
Structure: optimized geometry

Geometry as extended XYZ:
```
12
Lattice="11.226 0.000 0.000 0.000 3.104 0.000 -1.947 0.000 7.155" Properties=species:S:1:pos:R:3 pbc="T T T"
Zr 0.000 0.000 0.000
Zr -0.897 0.000 4.397
Zr 1.157 1.552 2.608
Zr 0.648 1.552 6.649
Zr 3.724 0.000 1.966
Zr 5.613 1.552 0.000
Zr 4.716 1.552 4.397
Zr 6.770 0.000 2.608
Zr 6.261 0.000 6.649
Zr 9.337 1.552 1.966
Zn 2.265 0.000 4.775
Zn 7.878 1.552 4.775
```

Summary:
Fermi-level density of states: 12.3 states/eV per cell
Calculated volume: 20.78 A^3/atom
Total moment: 0.000 μB per formula unit
Total energy: -94.554 eV/cell

Compound: YMg2P2
Source: the Alexandria database
Functional: GGA-PBEsol
Structure: optimized geometry

Geometry as extended XYZ:
```
10
Lattice="3.914 0.000 0.000 0.000 3.914 0.000 0.000 0.000 12.225" Properties=species:S:1:pos:R:3 pbc="T T T"
Y 0.000 0.000 0.000
Y 1.957 1.957 6.112
Mg 0.000 1.957 3.056
Mg 0.000 1.957 9.168
Mg 1.957 0.000 3.056
Mg 1.957 0.000 9.168
P 0.000 0.000 4.754
P 0.000 0.000 7.471
P 1.957 1.957 1.358
P 1.957 1.957 10.866
```

Summary:
Fermi-level density of states: 2.9 states/eV per cell
Calculated volume: 18.72 A^3/atom
Total moment: 0.000 μB per formula unit
Total energy: -50.800 eV/cell

Compound: Sn4Rh
Source: the Alexandria database
Functional: GGA-PBEsol
Structure: optimized geometry

Geometry as extended XYZ:
```
20
Lattice="-3.137 3.137 11.440 3.137 -3.137 11.440 3.137 3.137 -11.440" Properties=species:S:1:pos:R:3 pbc="T T T"
Sn 5.178 0.463 -1.409
Sn 2.032 2.664 -7.128
Sn 4.232 0.463 1.409
Sn 2.032 -0.473 7.128
Sn 2.032 0.473 4.311
Sn 1.095 2.673 -1.409
Sn 2.032 3.610 -4.311
Sn 2.041 2.673 1.409
Sn 1.095 0.463 10.031
Sn 1.105 -0.473 15.751
Sn 2.041 0.463 12.848
Sn 1.105 2.664 7.128
Sn 1.105 3.610 4.311
Sn -1.095 2.673 10.031
Sn 1.105 0.473 18.568
Sn -2.041 2.673 12.848
Rh 3.137 1.568 -2.860
Rh 0.000 1.568 2.860
Rh 3.137 1.568 8.580
Rh 0.000 1.568 14.300
```

Summary:
Fermi-level density of states: 8.0 states/eV per cell
Calculated volume: 22.51 A^3/atom
Total moment: 0.000 μB per formula unit
Total energy: -106.621 eV/cell